1.
A crystal of Tl2OsSeS relaxed with PBEsol. Source: Alexandria, functional meta-GGA SCAN.

Volume (Å³ per atom): 26.6
Magnetization (μB/f.u.): 1.918
E_tot (eV/f.u.): -242.605

```
data_Tl2OsSeS
_cell_length_a 5.6121
_cell_length_b 5.6121
_cell_length_c 4.2280
_cell_angle_alpha 90.00
_cell_angle_beta 90.00
_cell_angle_gamma 90.00
_space_group_name_H-M_alt 'P 4/m m m'
_space_group_IT_number 123
_space_group_name_Hall '-P 4 2'
loop_
_atom_site_label
_atom_site_type_symbol
_atom_site_fract_x
_atom_site_fract_y
_atom_site_fract_z
Tl1 Tl 0.0000 0.5000 0.0000
Os1 Os 0.0000 0.0000 0.5000
Se1 Se 0.5000 0.5000 0.5000
S1 S 0.0000 0.0000 0.0000
```

2.
A crystal of YOsSeS2 relaxed with PBEsol. Source: Alexandria, functional meta-GGA SCAN.

Volume (Å³ per atom): 23.1
Magnetization (μB/f.u.): 3.264
E_tot (eV/f.u.): -134.262

```
data_YOsSeS2
_cell_length_a 4.6589
_cell_length_b 4.6589
_cell_length_c 5.3108
_cell_angle_alpha 90.00
_cell_angle_beta 90.00
_cell_angle_gamma 90.00
_space_group_name_H-M_alt 'P 4/m m m'
_space_group_IT_number 123
_space_group_name_Hall '-P 4 2'
loop_
_atom_site_label
_atom_site_type_symbol
_atom_site_fract_x
_atom_site_fract_y
_atom_site_fract_z
Y1 Y 0.0000 0.0000 0.0000
Os1 Os 0.5000 0.5000 0.0000
Se1 Se 0.0000 0.0000 0.5000
S1 S 0.0000 0.5000 0.5000
```

3.
A crystal of SiTeOsS2 relaxed with PBEsol. Source: Alexandria, functional meta-GGA SCAN.

Volume (Å³ per atom): 19.6
Magnetization (μB/f.u.): 2.879
E_tot (eV/f.u.): -132.591

```
data_SiTeOsS2
_cell_length_a 4.2804
_cell_length_b 4.2804
_cell_length_c 5.3427
_cell_angle_alpha 90.00
_cell_angle_beta 90.00
_cell_angle_gamma 90.00
_space_group_name_H-M_alt 'P 4/m m m'
_space_group_IT_number 123
_space_group_name_Hall '-P 4 2'
loop_
_atom_site_label
_atom_site_type_symbol
_atom_site_fract_x
_atom_site_fract_y
_atom_site_fract_z
Si1 Si 0.0000 0.0000 0.0000
Te1 Te 0.0000 0.0000 0.5000
Os1 Os 0.5000 0.5000 0.5000
S1 S 0.0000 0.5000 0.0000
```

4.
A crystal of Sn3OsS relaxed with PBEsol. Source: Alexandria, functional meta-GGA SCAN.

Volume (Å³ per atom): 23.8
Magnetization (μB/f.u.): 1.778
E_tot (eV/f.u.): -182.021

```
data_Sn3OsS
_cell_length_a 4.9167
_cell_length_b 4.9167
_cell_length_c 4.9167
_cell_angle_alpha 90.00
_cell_angle_beta 90.00
_cell_angle_gamma 90.00
_space_group_name_H-M_alt 'P m -3 m'
_space_group_IT_number 221
_space_group_name_Hall '-P 4 2 3'
loop_
_atom_site_label
_atom_site_type_symbol
_atom_site_fract_x
_atom_site_fract_y
_atom_site_fract_z
Sn1 Sn 0.0000 0.0000 0.5000
Os1 Os 0.5000 0.5000 0.5000
S1 S 0.0000 0.0000 0.0000
```

5.
A crystal of TcOsS2 relaxed with PBEsol. Source: Alexandria, functional meta-GGA SCAN.

Volume (Å³ per atom): 14.4
Magnetization (μB/f.u.): 0.000
E_tot (eV/f.u.): -126.111

```
data_TcOsS2
_cell_length_a 2.9249
_cell_length_b 2.9249
_cell_length_c 23.2491
_cell_angle_alpha 90.00
_cell_angle_beta 90.00
_cell_angle_gamma 120.00
_space_group_name_H-M_alt 'R -3 m'
_space_group_IT_number 166
_space_group_name_Hall '-R 3 2"'
loop_
_atom_site_label
_atom_site_type_symbol
_atom_site_fract_x
_atom_site_fract_y
_atom_site_fract_z
Tc1 Tc 0.0000 0.0000 0.0000
Os1 Os 0.0000 0.0000 0.5000
S1 S 0.0000 0.0000 0.4050
```

6.
A crystal of Te2OsS relaxed with PBEsol. Source: Alexandria, functional meta-GGA SCAN.

Volume (Å³ per atom): 25.6
Magnetization (μB/f.u.): 0.000
E_tot (eV/f.u.): -153.976

```
data_Te2OsS
_cell_length_a 6.8154
_cell_length_b 6.8154
_cell_length_c 8.8277
_cell_angle_alpha 90.00
_cell_angle_beta 90.00
_cell_angle_gamma 90.00
_space_group_name_H-M_alt 'I -4 2 d'
_space_group_IT_number 122
_space_group_name_Hall 'I -4 2bw'
loop_
_atom_site_label
_atom_site_type_symbol
_atom_site_fract_x
_atom_site_fract_y
_atom_site_fract_z
Te1 Te 0.2158 0.2500 0.1250
Os1 Os 0.0000 0.0000 0.0000
S1 S 0.0000 0.0000 0.5000
```